# CsMnF5

A relaxed structure of CsMnF5 (GGA+U, the Alexandria database).

The structure in CIF format:
```
data_CsMnF5
_cell_length_a 9.6618
_cell_length_b 7.3493
_cell_length_c 7.6759
_cell_angle_alpha 90.00
_cell_angle_beta 113.27
_cell_angle_gamma 90.00
_symmetry_space_group_name_H-M 'C 1 2/c 1'
_symmetry_Int_Tables_number 15
loop_
_symmetry_equiv_pos_as_xyz
'x,y,z'
'-x,-y,-z'
'-x,y,-z+1/2'
'x,-y,z+1/2'
'x+1/2,y+1/2,z'
'-x+1/2,-y+1/2,-z'
'-x+1/2,y+1/2,-z+1/2'
'x+1/2,-y+1/2,z+1/2'
loop_
_atom_site_label
_atom_site_type_symbol
_atom_site_fract_x
_atom_site_fract_y
_atom_site_fract_z
Cs1 Cs 0.0000 0.0106 0.2500
Mn1 Mn 0.0000 0.5000 0.0000
F1 F 0.0000 0.4534 0.2500
F2 F 0.1182 0.3000 0.0325
F3 F 0.1643 0.3542 0.6014
```

Computed properties:
The size of the total moment is 3.13 μB per formula unit. The calculation puts the total energy at -4.918 eV/atom. As for the density: 3.75 g/cm3.